Entry 1:
Compound: CaHf2Cu2
Source: Alexandria
Functional: GGA-PBE
Structure: optimized geometry

a b c (Å): 6.086 6.086 6.086
angles (deg): 134.01 134.01 67.08
Fractional positions:
1 Ca 0.000 0.000 0.000
2 Hf 0.349 0.349 0.000
3 Hf 0.651 0.651 0.000
4 Cu 0.250 0.750 0.500
5 Cu 0.750 0.250 0.500

Final energy in eV per formula unit: -28.41
Symmetry: I4/mmm
Energy above the lowest structure with this stoichiometry in meV/atom: 221



Entry 2:
Compound: KMg2IrPb
Source: Alexandria
Functional: GGA-PBE
Structure: optimized geometry

a b c (Å): 5.209 5.209 5.224
angles (deg): 90.00 90.00 90.00
Fractional positions:
1 K 0.000 0.000 0.000
2 Mg 0.000 0.500 0.500
3 Mg 0.500 0.000 0.500
4 Ir 0.500 0.500 0.500
5 Pb 0.500 0.500 0.000

Final energy in eV per formula unit: -17.47
Symmetry: P4/mmm



Entry 3:
Compound: Y2As
Source: Alexandria
Functional: GGA-PBE
Structure: optimized geometry

a b c (Å): 6.091 6.091 6.091
angles (deg): 60.00 60.00 60.00
Fractional positions:
1 Y 0.000 0.000 0.000
2 Y 0.000 0.000 0.500
3 Y 0.000 0.500 0.000
4 Y 0.500 0.000 0.000
5 As 0.375 0.375 0.375
6 As 0.625 0.625 0.625

Final energy in eV per formula unit: -17.10
Symmetry: Fd-3m



Entry 4:
Compound: SmHo3Er6Th2
Source: Alexandria
Functional: GGA-PBE
Structure: optimized geometry

a b c (Å): 6.134 6.134 11.662
angles (deg): 95.04 95.04 119.95
Fractional positions:
1 Sm 0.000 0.000 0.000
2 Ho 0.166 0.834 0.500
3 Ho 0.500 0.500 0.500
4 Ho 0.834 0.166 0.500
5 Er 0.084 0.421 0.249
6 Er 0.254 0.254 0.751
7 Er 0.421 0.084 0.249
8 Er 0.579 0.916 0.751
9 Er 0.746 0.746 0.249
10 Er 0.916 0.579 0.751
11 Th 0.333 0.667 0.000
12 Th 0.667 0.333 0.000

Final energy in eV per formula unit: -60.32
Symmetry: C2/m



Entry 5:
Compound: ZrTcNi2
Source: Alexandria
Functional: GGA-PBE
Structure: optimized geometry

a b c (Å): 4.641 4.641 4.669
angles (deg): 102.67 102.67 36.54
Fractional positions:
1 Zr 0.000 0.000 0.000
2 Tc 0.765 0.765 0.323
3 Ni 0.243 0.243 0.760
4 Ni 0.508 0.508 0.502

Final energy in eV per formula unit: -30.75
Symmetry: Cm
Energy above the lowest structure with this stoichiometry in meV/atom: 196



Entry 6:
Compound: CaMnI2N
Source: Alexandria
Functional: GGA-PBE
Structure: optimized geometry

a b c (Å): 6.212 6.212 4.694
angles (deg): 90.00 90.00 90.00
Fractional positions:
1 Ca 0.000 0.000 0.000
2 Mn 0.500 0.500 0.500
3 I 0.000 0.500 0.000
4 I 0.500 0.000 0.000
5 N 0.000 0.000 0.500

Final energy in eV per formula unit: -20.42
Symmetry: P4/mmm
Energy above the lowest structure with this stoichiometry in meV/atom: 714
Formation energy from raw total energies in eV per atom: 0.435